No. 1
Below is an optimized crystal structure of BaEuZnRh, with properties calculated at the PBE-GGA level.

Values from the calculation:
calculated total energy = -5.360 eV/atom
space-group type = F-43m, No. 216

Cell: 5.329 5.329 5.329 Å, 60.00 60.00 60.00°
Atoms (fractional coordinates):
Zn  0.000  0.000  0.000
Ba  0.250  0.250  0.250
Eu  0.750  0.750  0.750
Rh  0.500  0.500  0.500

No. 2
Below is an optimized crystal structure of HgOs2Pb, with properties calculated at the PBE-GGA level.

Values from the calculation:
polymorph energy (0 for the lowest one) = 0.695 eV per atom
calculated total energy = -5.406 eV/atom
space-group type = P4/mmm, No. 123

Cell: 3.317 3.318 6.558 Å, 90.00 90.00 90.00°
Atoms (fractional coordinates):
Hg  0.500  0.500  0.750
Os  0.000  0.000  0.999
Os  0.000  0.000  0.501
Pb  0.500  0.500  0.250

No. 3
Below is an optimized crystal structure of CaDyPd6, with properties calculated at the PBE-GGA level.

Values from the calculation:
polymorph energy (0 for the lowest one) = 0.178 eV per atom
calculated total energy = -5.206 eV/atom
space-group type = Pm-3, No. 200

Cell: 5.274 5.274 5.274 Å, 90.00 90.00 90.00°
Atoms (fractional coordinates):
Pd  0.500  0.750  0.000
Pd  0.000  0.500  0.250
Pd  0.000  0.500  0.750
Pd  0.750  0.000  0.500
Pd  0.500  0.250  0.000
Pd  0.250  0.000  0.500
Ca  0.500  0.500  0.500
Dy  0.000  0.000  0.000